Record 1
ZrCu2Ir | meta-GGA SCAN | single point on PBEsol structure

Cell: 3.852 3.852 4.749 Å, 113.93 113.93 90.00°
Fractional coordinates of all 4 atoms:
1 Zr 0.250 0.750 0.500
2 Cu 0.500 0.500 0.000
3 Cu 0.750 0.250 0.500
4 Ir 0.000 0.000 0.000

Summary:
Excess energy over the best structure of this formula in the dataset = 67 meV per atom
Crystal system = tetragonal
Symmetry = I-4m2 (119)
DFT formation energy = -0.4154 eV per atom

Record 2
K3PO3F2 | meta-GGA SCAN | single point on PBEsol structure

Cell: 7.225 7.471 7.225 Å, 62.19 87.99 117.81°
Fractional coordinates of all 18 atoms:
1 P 0.235 0.490 0.765
2 P 0.746 0.510 0.254
3 F 0.506 0.000 0.019
4 F 0.981 0.000 0.494
5 F 0.803 0.346 0.197
6 F 0.457 0.654 0.543
7 K 0.686 0.000 0.704
8 K 0.253 0.500 0.247
9 K 0.821 0.000 0.179
10 K 0.753 0.500 0.747
11 K 0.296 0.000 0.314
12 K 0.187 0.000 0.813
13 O 0.051 0.341 0.705
14 O 0.542 0.315 0.458
15 O 0.227 0.685 0.773
16 O 0.295 0.341 0.949
17 O 0.709 0.659 0.046
18 O 0.954 0.659 0.291

Summary:
Crystal system = orthorhombic
Formation energy from raw total energies = -2695 meV per atom
Symmetry = Fmm2 (42)

Record 3
Ba3MgBi | meta-GGA SCAN | single point on PBEsol structure

Cell: 6.331 6.331 6.331 Å, 90.00 90.00 90.00°
Fractional coordinates of all 5 atoms:
1 Ba 0.500 0.000 0.000
2 Ba 0.000 0.500 0.000
3 Ba 0.000 0.000 0.500
4 Mg 0.000 0.000 0.000
5 Bi 0.500 0.500 0.500

Summary:
Crystal system = cubic
Symmetry = Pm-3m (221)
DFT formation energy = 0.0580 eV per atom

Record 4
NbAs2Au | meta-GGA SCAN | single point on PBEsol structure

Cell: 4.591 4.591 4.591 Å, 60.00 60.00 60.00°
Fractional coordinates of all 4 atoms:
1 Nb 0.000 0.000 0.000
2 Au 0.500 0.500 0.500
3 As 0.250 0.250 0.250
4 As 0.750 0.750 0.750

Summary:
Crystal system = cubic
Symmetry = Fm-3m (225)
DFT formation energy = 0.1330 eV per atom

Record 5
Ta5Ge3B | meta-GGA SCAN | single point on PBEsol structure

Cell: 5.300 7.658 7.658 Å, 120.00 90.00 90.00°
Fractional coordinates of all 18 atoms:
1 B 0.500 0.000 0.000
2 B 0.000 0.000 0.000
3 Ge 0.750 0.599 0.000
4 Ge 0.750 0.401 0.401
5 Ge 0.750 0.000 0.599
6 Ge 0.250 0.599 0.599
7 Ge 0.250 0.401 0.000
8 Ge 0.250 0.000 0.401
9 Ta 0.500 0.333 0.667
10 Ta 0.250 0.244 0.244
11 Ta 0.750 0.000 0.244
12 Ta 0.750 0.244 0.000
13 Ta 0.500 0.667 0.333
14 Ta 0.000 0.333 0.667
15 Ta 0.250 0.756 0.000
16 Ta 0.750 0.756 0.756
17 Ta 0.000 0.667 0.333
18 Ta 0.250 0.000 0.756

Summary:
Crystal system = hexagonal
Symmetry = P6_3/mcm (193)
DFT formation energy = -0.4961 eV per atom

Record 6
Sc2As3 | meta-GGA SCAN | single point on PBEsol structure

Cell: 3.627 3.627 9.033 Å, 78.42 78.42 60.00°
Fractional coordinates of all 5 atoms:
1 As 0.199 0.199 0.402
2 As 0.000 0.000 0.000
3 As 0.801 0.801 0.598
4 Sc 0.393 0.393 0.821
5 Sc 0.607 0.607 0.179

Summary:
Crystal system = trigonal
Symmetry = R-3m (166)
DFT formation energy = -0.7423 eV per atom

Record 7
SrY2As | meta-GGA SCAN | single point on PBEsol structure

Cell: 4.559 4.559 6.225 Å, 111.48 111.48 90.00°
Fractional coordinates of all 4 atoms:
1 Sr 0.000 0.000 0.000
2 Y 0.750 0.250 0.500
3 Y 0.250 0.750 0.500
4 As 0.500 0.500 0.000

Summary:
Crystal system = tetragonal
Symmetry = I4/mmm (139)
DFT formation energy = -0.2781 eV per atom

Record 8
AlCN2O | meta-GGA SCAN | single point on PBEsol structure

Cell: 3.573 3.763 3.763 Å, 90.00 90.00 90.00°
Fractional coordinates of all 5 atoms:
1 O 0.500 0.000 0.000
2 Al 0.000 0.000 0.000
3 N 0.000 0.500 0.000
4 N 0.000 0.000 0.500
5 C 0.500 0.500 0.500

Summary:
Crystal system = tetragonal
Formation energy from raw total energies = 1599 meV per atom
Symmetry = P4/mmm (123)

Record 9
Na2MgTcBi | meta-GGA SCAN | single point on PBEsol structure

Cell: 4.986 5.078 5.078 Å, 90.00 90.00 90.00°
Fractional coordinates of all 5 atoms:
1 Na 0.000 0.500 0.000
2 Na 0.000 0.000 0.500
3 Tc 0.500 0.000 0.000
4 Bi 0.500 0.500 0.500
5 Mg 0.000 0.000 0.000

Summary:
Crystal system = tetragonal
Symmetry = P4/mmm (123)
DFT formation energy = 0.9209 eV per atom

Record 10
LaZnFeWO6 | meta-GGA SCAN | single point on PBEsol structure

Cell: 5.411 5.711 7.680 Å, 90.00 89.49 90.00°
Fractional coordinates of all 20 atoms:
1 W 0.003 0.221 0.500
2 W 0.503 0.779 0.000
3 O 0.184 0.540 0.549
4 O 0.705 0.425 0.441
5 O 0.205 0.575 0.941
6 O 0.921 0.255 0.745
7 O 0.631 0.723 0.757
8 O 0.421 0.745 0.245
9 O 0.684 0.460 0.049
10 O 0.804 0.958 0.462
11 O 0.790 0.958 0.046
12 O 0.131 0.277 0.257
13 O 0.304 0.042 0.962
14 O 0.290 0.042 0.546
15 La 0.982 0.693 0.251
16 La 0.482 0.307 0.751
17 Fe 0.499 0.775 0.501
18 Fe 0.999 0.225 0.001
19 Zn 0.983 0.655 0.749
20 Zn 0.483 0.345 0.249

Summary:
Crystal system = monoclinic
Formation energy from raw total energies = -2246 meV per atom
Symmetry = Pc (7)

Record 11
YSiIr2 | meta-GGA SCAN | single point on PBEsol structure

Cell: 3.408 3.408 5.852 Å, 90.00 90.00 90.00°
Fractional coordinates of all 4 atoms:
1 Y 0.500 0.500 0.767
2 Ir 0.000 0.000 0.012
3 Ir 0.500 0.500 0.299
4 Si 0.000 0.000 0.421

Summary:
Crystal system = tetragonal
Formation energy from raw total energies = -411 meV per atom
Symmetry = P4mm (99)

Record 12
TePAuO2 | meta-GGA SCAN | single point on PBEsol structure

Cell: 3.836 3.836 5.381 Å, 90.00 90.00 90.00°
Fractional coordinates of all 5 atoms:
1 Te 0.000 0.000 0.000
2 O 0.500 0.000 0.000
3 O 0.000 0.500 0.000
4 P 0.000 0.000 0.500
5 Au 0.500 0.500 0.500

Summary:
Excess energy over the best structure of this formula in the dataset = 0 meV per atom
Crystal system = tetragonal
Formation energy from raw total energies = -138 meV per atom
Symmetry = P4/mmm (123)